# PBE-GGA Tb2Al5PdRh2, relaxed
data_Tb2Al5PdRh2
_chemical_formula_sum 'Tb4 Al10 Pd2 Rh4'
_cell_length_a 3.938
_cell_length_b 9.603
_cell_length_c 9.603
_cell_angle_alpha 90.00
_cell_angle_beta 90.00
_cell_angle_gamma 90.00
_space_group_name_H-M_alt 'P 1'
_space_group_IT_number 1
loop_
_space_group_symop_operation_xyz
'x,y,z'
loop_
_atom_site_label
_atom_site_type_symbol
_atom_site_fract_x
_atom_site_fract_y
_atom_site_fract_z
Tb1 Tb 0.000 0.682 0.182
Tb2 Tb 0.000 0.318 0.818
Tb3 Tb 0.000 0.182 0.318
Tb4 Tb 0.000 0.818 0.682
Al1 Al 0.500 0.201 0.056
Al2 Al 0.500 0.799 0.944
Al3 Al 0.500 0.056 0.799
Al4 Al 0.500 0.701 0.444
Al5 Al 0.500 0.944 0.201
Al6 Al 0.500 0.299 0.556
Al7 Al 0.500 0.556 0.701
Al8 Al 0.500 0.444 0.299
Al9 Al 0.500 0.500 0.000
Al10 Al 0.500 0.000 0.500
Pd1 Pd 0.000 0.000 0.000
Pd2 Pd 0.000 0.500 0.500
Rh1 Rh 0.000 0.115 0.615
Rh2 Rh 0.000 0.885 0.385
Rh3 Rh 0.000 0.615 0.885
Rh4 Rh 0.000 0.385 0.115
# total energy = -109.9 eV/cell
# volume = 363 Å³ per cell
# space group = P4/mbm (127)
# total moment = 0.0 Bohr magnetons per cell